A plane-wave DFT calculation with PBE-GGA was carried out for a relaxed structure of SnH. Values from VASP.

## Properties
As for the magnetization: 0.0 μB/f.u. The calculation puts the total energy at -25.70 eV for the cell shown. Its crystal system is tetragonal.

Quantum ESPRESSO input file:
```
&SYSTEM
  ibrav = 0, nat = 8, ntyp = 2
/
ATOMIC_SPECIES
Sn 118.71 Sn.upf
H 1.01 H.upf
ATOMIC_POSITIONS angstrom
Sn 1.219 1.219 0.000
Sn 1.270 3.707 2.659
Sn 3.707 1.270 2.659
Sn 3.758 3.758 0.000
H 0.814 4.163 0.000
H 1.674 1.674 2.659
H 3.303 3.303 2.659
H 4.163 0.814 0.000
CELL_PARAMETERS angstrom
4.977 0.000 0.000
0.000 4.977 0.000
0.000 0.000 5.318
```